Material: YCr3N
Method: DFT, PBE-GGA
State: optimized geometry

Geometry as POSCAR:
```
YCr3N
1.0
4.0754 0.0000 0.0000
0.0000 4.0754 0.0000
0.0000 0.0000 4.0754
Y Cr N
1 3 1
Direct
0.5000 0.5000 0.5000 Y
0.0000 0.5000 0.0000 Cr
0.0000 0.0000 0.5000 Cr
0.5000 0.0000 0.0000 Cr
0.0000 0.0000 0.0000 N
```

Computed properties:
Distance to the lowest polymorph of the same formula ... 0.000 eV/atom
Formation energy without anion corrections ... 0.071 eV/atom
Symmetry ... No. 221

***

Material: Y2Cr2N
Method: DFT, PBE-GGA
State: optimized geometry

Geometry as POSCAR:
```
Y2Cr2N
1.0
5.6655 0.0000 0.0000
0.0000 5.6655 0.0000
2.8327 2.8327 3.1990
Y Cr N
2 2 1
Direct
0.7500 0.2500 0.5000 Y
0.2500 0.7500 0.5000 Y
0.2816 0.2816 0.4368 Cr
0.7184 0.7184 0.5632 Cr
0.0000 0.0000 0.0000 N
```

Computed properties:
Distance to the lowest polymorph of the same formula ... 0.161 eV/atom
Formation energy without anion corrections ... 0.647 eV/atom
Symmetry ... No. 139

***

Material: YCrN2
Method: DFT, PBE-GGA
State: optimized geometry

Geometry as POSCAR:
```
YCrN2
1.0
-3.0268 -5.7807 0.6135
0.0294 -6.5107 0.7512
-1.4540 -5.4615 3.3184
Y Cr N
1 1 2
Direct
0.0000 0.0000 0.0000 Y
0.5000 0.5000 0.5000 Cr
0.8824 0.8824 0.8824 N
0.1176 0.1176 0.1176 N
```

Computed properties:
Formation energy without anion corrections ... -0.037 eV/atom
Symmetry ... No. 166

***

Material: ZnCrN3
Method: DFT, PBE-GGA
State: optimized geometry

Geometry as POSCAR:
```
ZnCrN3
1.0
3.7060 0.0000 0.0000
0.0000 3.7060 0.0000
0.0000 0.0000 3.7060
Cr Zn N
1 1 3
Direct
0.0000 0.0000 0.0000 Cr
0.5000 0.5000 0.5000 Zn
0.0000 0.5000 0.0000 N
0.0000 0.0000 0.5000 N
0.5000 0.0000 0.0000 N
```

Computed properties:
Formation energy without anion corrections ... 0.849 eV/atom
Symmetry ... No. 221

***

Material: ZnCrN2
Method: DFT, PBE-GGA
State: optimized geometry

Geometry as POSCAR:
```
ZnCrN2
1.0
-5.3097 -0.4573 3.1288
-3.5167 1.0755 4.9666
-4.9444 2.4863 2.7500
Cr Zn N
1 1 2
Direct
0.0000 0.0000 0.0000 Cr
0.5000 0.5000 0.5000 Zn
0.9016 0.9016 0.9016 N
0.0984 0.0984 0.0984 N
```

Computed properties:
Formation energy without anion corrections ... 0.783 eV/atom
Symmetry ... No. 166

***

Material: Zn3CrN
Method: DFT, PBE-GGA
State: optimized geometry

Geometry as POSCAR:
```
Zn3CrN
1.0
4.1742 0.0000 0.0000
0.0000 4.1742 0.0000
0.0000 0.0000 4.1742
Cr Zn N
1 3 1
Direct
0.5000 0.5000 0.5000 Cr
0.0000 0.5000 0.0000 Zn
0.0000 0.0000 0.5000 Zn
0.5000 0.0000 0.0000 Zn
0.0000 0.0000 0.0000 N
```

Computed properties:
Distance to the lowest polymorph of the same formula ... 0.000 eV/atom
Formation energy without anion corrections ... 0.623 eV/atom
Symmetry ... No. 221

***

Material: ZnCrN3
Method: DFT, PBE-GGA
State: optimized geometry

Geometry as POSCAR:
```
ZnCrN3
1.0
-1.5368 -2.7466 -1.9704
-1.5138 -1.3761 3.0989
-3.0224 2.0858 -0.5502
Cr Zn N
1 1 3
Direct
0.5000 0.5000 0.5000 Cr
0.0000 0.0000 0.0000 Zn
0.0000 0.5000 0.0000 N
0.0000 0.0000 0.5000 N
0.5000 0.0000 0.0000 N
```

Computed properties:
Formation energy without anion corrections ... 2.139 eV/atom
Symmetry ... No. 221

***

Material: ZnCr2N
Method: DFT, PBE-GGA
State: optimized geometry

Geometry as POSCAR:
```
ZnCr2N
1.0
2.8655 0.0000 0.0000
1.4327 2.4816 0.0000
1.4327 0.8272 6.3817
Cr Zn N
2 1 1
Direct
0.7799 0.7799 0.6602 Cr
0.2201 0.2201 0.3398 Cr
0.0000 0.0000 0.0000 Zn
0.5000 0.5000 0.5000 N
```

Computed properties:
Formation energy without anion corrections ... -0.198 eV/atom
Symmetry ... No. 166

***

Material: ZnCrN2
Method: DFT, PBE-GGA
State: optimized geometry

Geometry as POSCAR:
```
ZnCrN2
1.0
1.6116 0.0000 6.0927
-0.8058 1.3957 6.0927
-0.8058 -1.3957 6.0927
Cr Zn N
1 1 2
Direct
0.5000 0.5000 0.5000 Cr
0.0000 0.0000 0.0000 Zn
0.8951 0.8951 0.8951 N
0.1049 0.1049 0.1049 N
```

Computed properties:
Formation energy without anion corrections ... 0.032 eV/atom
Symmetry ... No. 166

***

Material: ZnCr2N
Method: DFT, PBE-GGA
State: optimized geometry

Geometry as POSCAR:
```
ZnCr2N
1.0
-0.2628 -3.7117 4.6895
4.2063 -3.4516 -2.4962
3.9081 -2.1309 2.3534
Cr Zn N
4 2 2
Direct
0.5269 0.1250 0.2500 Cr
0.2231 0.6250 0.2500 Cr
0.3750 0.4731 0.7500 Cr
0.8750 0.7769 0.7500 Cr
0.0000 0.0000 0.0000 Zn
0.7500 0.2500 0.5000 Zn
0.5000 0.5000 0.0000 N
0.2500 0.7500 0.5000 N
```

Computed properties:
Formation energy without anion corrections ... 0.144 eV/atom
Symmetry ... No. 122

***

Material: ZnCrN2
Method: DFT, PBE-GGA
State: optimized geometry

Geometry as POSCAR:
```
ZnCrN2
1.0
-4.3375 -0.3049 1.2398
1.2408 0.0274 4.3478
-1.8470 4.3418 2.8508
Cr Zn N
2 2 4
Direct
0.5000 0.5000 0.0000 Cr
0.2500 0.7500 0.5000 Cr
0.0000 0.0000 0.0000 Zn
0.7500 0.2500 0.5000 Zn
0.5890 0.1250 0.2500 N
0.1610 0.6250 0.2500 N
0.3750 0.4110 0.7500 N
0.8750 0.8390 0.7500 N
```

Computed properties:
Formation energy without anion corrections ... -0.228 eV/atom
Symmetry ... No. 122

***

Material: ZnCr2N
Method: DFT, PBE-GGA
State: optimized geometry

Geometry as POSCAR:
```
ZnCr2N
1.0
3.3844 -1.3957 -1.4279
1.8650 -2.9145 1.8624
0.1277 -3.5880 -1.5972
Cr Zn N
2 1 1
Direct
0.2500 0.2500 0.2500 Cr
0.7500 0.7500 0.7500 Cr
0.5000 0.5000 0.5000 Zn
0.0000 0.0000 0.0000 N
```

Computed properties:
Formation energy without anion corrections ... 1.060 eV/atom
Symmetry ... No. 225

***

Material: Zn3CrN
Method: DFT, PBE-GGA
State: optimized geometry

Geometry as POSCAR:
```
Zn3CrN
1.0
5.0487 0.0000 0.0000
0.0000 5.0487 0.0000
0.0000 0.0000 5.0487
Cr Zn N
1 3 1
Direct
0.0000 0.0000 0.0000 Cr
0.0000 0.5000 0.0000 Zn
0.0000 0.0000 0.5000 Zn
0.5000 0.0000 0.0000 Zn
0.5000 0.5000 0.5000 N
```

Computed properties:
Distance to the lowest polymorph of the same formula ... 1.022 eV/atom
Formation energy without anion corrections ... 1.645 eV/atom
Symmetry ... No. 221

***

Material: ZnCrN2
Method: DFT, PBE-GGA
State: optimized geometry

Geometry as POSCAR:
```
ZnCrN2
1.0
5.5540 0.0000 0.0000
0.0000 6.3767 0.0000
0.0000 0.0000 5.2219
Zn Cr N
4 4 8
Direct
0.5886 0.8780 0.0005 Zn
0.4114 0.1220 0.5005 Zn
0.9114 0.3780 0.5005 Zn
0.0886 0.6220 0.0005 Zn
0.5752 0.3728 0.9987 Cr
0.4248 0.6272 0.4987 Cr
0.9248 0.8728 0.4987 Cr
0.0752 0.1272 0.9987 Cr
0.5661 0.3897 0.3561 N
0.4339 0.6103 0.8561 N
0.9339 0.8897 0.8561 N
0.0661 0.1103 0.3561 N
0.6028 0.8601 0.3947 N
0.3972 0.1399 0.8947 N
0.8972 0.3601 0.8947 N
0.1028 0.6399 0.3947 N
```

Computed properties:
Formation energy without anion corrections ... -0.224 eV/atom
Symmetry ... No. 33

***

Material: Zn3Cr2N4
Method: DFT, PBE-GGA
State: optimized geometry

Geometry as POSCAR:
```
Zn3Cr2N4
1.0
6.4614 0.0010 0.2959
-5.4099 6.3743 0.0000
-0.3974 -0.3373 5.4515
Cr Zn N
4 6 8
Direct
0.4874 0.1373 0.5735 Cr
0.5126 0.6499 0.9265 Cr
0.5126 0.8627 0.4265 Cr
0.4874 0.3501 0.0735 Cr
0.1896 0.8590 0.0555 Zn
0.8104 0.6694 0.4445 Zn
0.8104 0.1410 0.9445 Zn
0.1896 0.3306 0.5555 Zn
0.0000 0.5382 0.7500 Zn
0.0000 0.4618 0.2500 Zn
0.2249 0.8693 0.4519 N
0.7751 0.6444 0.0481 N
0.7751 0.1307 0.5481 N
0.2249 0.3556 0.9519 N
0.4332 0.1377 0.8953 N
0.5668 0.7045 0.6047 N
0.5668 0.8623 0.1047 N
0.4332 0.2955 0.3953 N
```

Computed properties:
Formation energy without anion corrections ... 0.035 eV/atom
Symmetry ... No. 15

***

Material: ZnCr2N
Method: DFT, PBE-GGA
State: optimized geometry

Geometry as POSCAR:
```
ZnCr2N
1.0
2.7897 0.0000 0.0000
1.3949 2.4160 0.0000
1.3949 0.8053 6.5042
Zn Cr N
1 2 1
Direct
0.4999 0.4999 0.5004 Zn
0.0556 0.0556 0.8331 Cr
0.2778 0.2778 0.1666 Cr
0.6667 0.6667 0.9999 N
```

Computed properties:
Formation energy without anion corrections ... -0.226 eV/atom
Symmetry ... No. 160

***

Material: Zr2CrN3
Method: DFT, PBE-GGA
State: optimized geometry

Geometry as POSCAR:
```
Zr2CrN3
1.0
-3.8480 -3.7090 -3.7157
2.0004 -1.6679 -1.7157
-8.8872 -7.7356 -2.8420
Zr Cr N
2 1 3
Direct
0.0000 0.0000 0.6497 Zr
0.0000 0.0000 0.3503 Zr
0.0000 0.0000 0.0000 Cr
0.0000 0.5000 0.5000 N
0.0000 0.0000 0.8311 N
0.0000 0.0000 0.1689 N
```

Computed properties:
Formation energy without anion corrections ... -1.208 eV/atom
Symmetry ... No. 71

***

Material: Zr2CrN
Method: DFT, PBE-GGA
State: optimized geometry

Geometry as POSCAR:
```
Zr2CrN
1.0
3.1925 0.0000 0.0000
1.5962 2.7648 0.0000
1.5962 0.9216 7.9281
Cr Zr N
1 2 1
Direct
0.0000 0.0000 0.0000 Cr
0.1122 0.1122 0.6634 Zr
0.8878 0.8878 0.3366 Zr
0.5000 0.5000 0.5000 N
```

Computed properties:
Formation energy without anion corrections ... -0.297 eV/atom
Symmetry ... No. 166

***

Material: Zr2Cr2N
Method: DFT, PBE-GGA
State: optimized geometry

Geometry as POSCAR:
```
Zr2Cr2N
1.0
5.0201 0.0000 0.0000
0.0000 5.0201 0.0000
2.5101 2.5101 4.7116
Cr Zr N
2 2 1
Direct
0.8166 0.8166 0.3668 Cr
0.1834 0.1834 0.6332 Cr
0.7500 0.2500 0.5000 Zr
0.2500 0.7500 0.5000 Zr
0.0000 0.0000 0.0000 N
```

Computed properties:
Distance to the lowest polymorph of the same formula ... 0.787 eV/atom
Formation energy without anion corrections ... 1.021 eV/atom
Symmetry ... No. 139

***

Material: Zr2CrN
Method: DFT, PBE-GGA
State: optimized geometry

Geometry as POSCAR:
```
Zr2CrN
1.0
6.4117 0.0000 0.0000
0.0000 6.4117 0.0000
3.2058 3.2058 3.6331
Cr Zr N
2 4 2
Direct
0.0000 0.0000 0.0000 Cr
0.7500 0.2500 0.5000 Cr
0.5364 0.1250 0.2500 Zr
0.2136 0.6250 0.2500 Zr
0.3750 0.4636 0.7500 Zr
0.8750 0.7864 0.7500 Zr
0.5000 0.5000 0.0000 N
0.2500 0.7500 0.5000 N
```

Computed properties:
Formation energy without anion corrections ... -0.132 eV/atom
Symmetry ... No. 122

***

Material: Zr3Cr5N12
Method: DFT, PBE-GGA
State: optimized geometry

Geometry as POSCAR:
```
Zr3Cr5N12
1.0
-0.5630 9.4617 -4.2972
-9.6043 -3.5005 1.9521
5.3689 0.5453 8.8985
Zr Cr N
12 20 48
Direct
0.7500 0.3750 0.1250 Zr
0.8750 0.7500 0.1250 Zr
0.3750 0.7500 0.6250 Zr
0.2500 0.1250 0.3750 Zr
0.8750 0.1250 0.2500 Zr
0.3750 0.6250 0.2500 Zr
0.6250 0.3750 0.7500 Zr
0.1250 0.8750 0.7500 Zr
0.7500 0.8750 0.6250 Zr
0.6250 0.2500 0.3750 Zr
0.1250 0.2500 0.8750 Zr
0.2500 0.6250 0.8750 Zr
0.1250 0.3750 0.2500 Cr
0.0000 0.5000 0.0000 Cr
0.0000 0.0000 0.0000 Cr
0.3750 0.2500 0.1250 Cr
0.5000 0.0000 0.5000 Cr
0.5000 0.5000 0.0000 Cr
0.1250 0.7500 0.3750 Cr
0.7500 0.1250 0.8750 Cr
0.7500 0.6250 0.3750 Cr
0.3750 0.1250 0.7500 Cr
0.6250 0.8750 0.2500 Cr
0.5000 0.5000 0.5000 Cr
0.5000 0.0000 0.0000 Cr
0.0000 0.0000 0.5000 Cr
0.2500 0.3750 0.6250 Cr
0.2500 0.8750 0.1250 Cr
0.0000 0.5000 0.5000 Cr
0.8750 0.2500 0.6250 Cr
0.6250 0.7500 0.8750 Cr
0.8750 0.6250 0.7500 Cr
0.7096 0.1218 0.0248 N
0.3153 0.5248 0.4031 N
0.9752 0.3782 0.2904 N
0.5248 0.2096 0.1218 N
0.5878 0.7096 0.6847 N
0.9752 0.5969 0.1847 N
0.3153 0.7904 0.4122 N
0.0969 0.9122 0.1218 N
0.5969 0.9752 0.6847 N
0.7096 0.5878 0.1847 N
0.7904 0.4752 0.3782 N
0.8153 0.9031 0.0248 N
0.1218 0.7096 0.5248 N
0.3782 0.4031 0.0878 N
0.0878 0.9031 0.3782 N
0.4122 0.1218 0.5969 N
0.0878 0.1847 0.2096 N
0.4752 0.6847 0.0969 N
0.8153 0.9122 0.2904 N
0.1218 0.4122 0.0969 N
0.3782 0.9752 0.7904 N
0.5969 0.6218 0.4122 N
0.9031 0.8153 0.5248 N
0.7904 0.3153 0.9122 N
0.4031 0.3782 0.5878 N
0.0969 0.1847 0.4752 N
0.2096 0.6847 0.0878 N
0.1847 0.0878 0.7096 N
0.6218 0.0248 0.2096 N
0.8782 0.5878 0.9031 N
0.5248 0.3153 0.9031 N
0.5878 0.8782 0.4031 N
0.9122 0.8153 0.7904 N
0.9122 0.0969 0.6218 N
0.8782 0.2904 0.4752 N
0.1847 0.0969 0.9752 N
0.6218 0.5969 0.9122 N
0.4031 0.0248 0.3153 N
0.2904 0.4122 0.8153 N
0.2096 0.5248 0.6218 N
0.9031 0.0878 0.8782 N
0.6847 0.2096 0.5878 N
0.4752 0.7904 0.8782 N
0.0248 0.4031 0.8153 N
0.4122 0.2904 0.3153 N
0.0248 0.6218 0.7096 N
0.6847 0.4752 0.5969 N
0.2904 0.8782 0.9752 N
```

Computed properties:
Formation energy without anion corrections ... -0.663 eV/atom
Symmetry ... No. 230

***

Material: Zr3CrN
Method: DFT, PBE-GGA
State: optimized geometry

Geometry as POSCAR:
```
Zr3CrN
1.0
4.4407 0.0000 0.0000
0.0000 4.4407 0.0000
0.0000 0.0000 4.4407
Cr Zr N
1 3 1
Direct
0.5000 0.5000 0.5000 Cr
0.0000 0.5000 0.0000 Zr
0.0000 0.0000 0.5000 Zr
0.5000 0.0000 0.0000 Zr
0.0000 0.0000 0.0000 N
```

Computed properties:
Formation energy without anion corrections ... -0.438 eV/atom
Symmetry ... No. 221

***

Material: Zr2Cr2N
Method: DFT, PBE-GGA
State: optimized geometry

Geometry as POSCAR:
```
Zr2Cr2N
1.0
-0.1547 4.0976 -3.4767
-5.3737 -0.0994 0.1220
0.0270 3.2726 3.8558
Cr Zr N
4 4 2
Direct
0.3313 0.8313 0.0000 Cr
0.8313 0.6687 0.0000 Cr
0.6687 0.1687 0.0000 Cr
0.1687 0.3313 0.0000 Cr
0.1752 0.6752 0.5000 Zr
0.6752 0.8248 0.5000 Zr
0.8248 0.3248 0.5000 Zr
0.3248 0.1752 0.5000 Zr
0.0000 0.0000 0.0000 N
0.5000 0.5000 0.0000 N
```

Computed properties:
Distance to the lowest polymorph of the same formula ... 0.000 eV/atom
Formation energy without anion corrections ... 0.234 eV/atom
Symmetry ... No. 127

***

Volume: 13.54 20.54 13.49 10.18 11.49 14.55 10.24 11.35 10.28 12.21 11.48 10.73 25.74 11.56 12.55 10.96 11.29 17.49 23.75 18.67 10.85 17.51 14.62 (A^3/atom)